Entry 1:
This record from the Alexandria database describes NiOs2CS after structural relaxation. The functional is PBE.

Cell: 4.624 4.624 3.900 Å, 90.00 90.00 90.00°
Fractional positions:
Ni1 0.000 0.000 0.000
Os1 0.000 0.500 0.000
Os2 0.500 0.000 0.000
C1 0.500 0.500 0.500
S1 0.000 0.000 0.500

**N(E_F)**: 5.5 states/eV/f.u.
**Size of the total moment**: 4.0 μB per formula unit
**ΔE_f (raw)**: 2.83 eV per atom
**E_tot**: -27.46 eV/cell


Entry 2:
This record from the Alexandria database describes La2ReSi5 after structural relaxation. The functional is PBE.

Cell: 5.945 5.945 9.174 Å, 90.00 90.00 90.00°
Fractional positions:
La1 0.000 0.500 0.000
La2 0.000 0.500 0.500
La3 0.500 0.000 0.000
La4 0.500 0.000 0.500
Re1 0.000 0.000 0.210
Re2 0.500 0.500 0.710
Si1 0.000 0.000 0.948
Si2 0.209 0.209 0.749
Si3 0.209 0.791 0.749
Si4 0.291 0.291 0.249
Si5 0.291 0.709 0.249
Si6 0.500 0.500 0.448
Si7 0.709 0.291 0.249
Si8 0.709 0.709 0.249
Si9 0.791 0.209 0.749
Si10 0.791 0.791 0.749

**N(E_F)**: 4.0 states/eV/f.u.
**Size of the total moment**: 0.0 μB per formula unit
**ΔE_f (raw)**: -0.48 eV per atom
**E_tot**: -106.51 eV/cell


Entry 3:
This record from the Alexandria database describes ScMn2Ir after structural relaxation. The functional is PBE.

Cell: 2.828 3.940 5.429 Å, 90.00 90.00 90.00°
Fractional positions:
Sc1 0.000 0.000 0.000
Mn1 0.500 0.500 0.274
Mn2 0.500 0.500 0.726
Ir1 0.000 0.000 0.500

**Energy of formation**: -0.041 eV/atom
**N(E_F)**: 4.5 states/eV/f.u.
**Size of the total moment**: 5.6 μB per formula unit
**Energy above the lowest structure with this stoichiometry**: 0.2202 eV/atom
**E_tot**: -33.69 eV/cell


Entry 4:
This record from the Alexandria database describes CdOs3 after structural relaxation. The functional is PBE.

Cell: 3.966 3.966 3.966 Å, 90.00 90.00 90.00°
Fractional positions:
Cd1 0.000 0.000 0.000
Os1 0.000 0.500 0.500
Os2 0.500 0.000 0.500
Os3 0.500 0.500 0.000

**Energy of formation**: 0.906 eV/atom
**N(E_F)**: 5.2 states/eV/f.u.
**Size of the total moment**: 1.3 μB per formula unit
**Energy above the lowest structure with this stoichiometry**: 0.6692 eV/atom
**E_tot**: -30.98 eV/cell


Entry 5:
This record from the Alexandria database describes K2Rb3RhO6 after structural relaxation. The functional is PBE.

Cell: 6.479 6.479 6.512 Å, 99.93 99.93 119.60°
Fractional positions:
K1 0.167 0.833 0.000
K2 0.833 0.167 0.000
Rb1 0.000 0.000 0.500
Rb2 0.332 0.668 0.500
Rb3 0.668 0.332 0.500
Rh1 0.500 0.500 0.000
O1 0.187 0.437 0.813
O2 0.316 0.316 0.184
O3 0.437 0.187 0.813
O4 0.563 0.813 0.187
O5 0.684 0.684 0.816
O6 0.813 0.563 0.187

**N(E_F)**: 10.2 states/eV/f.u.
**Size of the total moment**: 1.9 μB per formula unit
**ΔE_f (raw)**: -1.01 eV per atom
**E_tot**: -54.30 eV/cell


Entry 6:
This record from the Alexandria database describes Ce7GaOs2 after structural relaxation. The functional is PBE.

Cell: 7.943 7.943 5.142 Å, 90.00 90.00 112.90°
Fractional positions:
Ce1 0.000 0.000 0.000
Ce2 0.221 0.441 0.000
Ce3 0.227 0.773 0.500
Ce4 0.441 0.221 0.000
Ce5 0.559 0.779 0.000
Ce6 0.773 0.227 0.500
Ce7 0.779 0.559 0.000
Ga1 0.500 0.500 0.500
Os1 0.191 0.809 0.000
Os2 0.809 0.191 0.000

**Energy of formation**: 0.024 eV/atom
**N(E_F)**: 28.1 states/eV/f.u.
**Size of the total moment**: 4.4 μB per formula unit
**E_tot**: -66.78 eV/cell


Entry 7:
This record from the Alexandria database describes DyMn2Ge2 after structural relaxation. The functional is PBE.

Cell: 3.933 3.933 10.831 Å, 90.00 90.00 90.00°
Fractional positions:
Dy1 0.000 0.000 0.000
Dy2 0.500 0.500 0.500
Mn1 0.000 0.500 0.250
Mn2 0.000 0.500 0.750
Mn3 0.500 0.000 0.250
Mn4 0.500 0.000 0.750
Ge1 0.000 0.000 0.381
Ge2 0.000 0.000 0.619
Ge3 0.500 0.500 0.119
Ge4 0.500 0.500 0.881

**Energy of formation**: -0.478 eV/atom
**N(E_F)**: 2.9 states/eV/f.u.
**Size of the total moment**: 4.0 μB per formula unit
**E_tot**: -69.14 eV/cell


Entry 8:
This record from the Alexandria database describes Tl12Se6Br after structural relaxation. The functional is PBE.

Cell: 9.086 9.086 9.086 Å, 79.90 79.90 79.90°
Fractional positions:
Tl1 0.053 0.886 0.350
Tl2 0.114 0.650 0.947
Tl3 0.200 0.458 0.596
Tl4 0.350 0.053 0.886
Tl5 0.404 0.800 0.542
Tl6 0.458 0.596 0.200
Tl7 0.542 0.404 0.800
Tl8 0.596 0.200 0.458
Tl9 0.650 0.947 0.114
Tl10 0.800 0.542 0.404
Tl11 0.886 0.350 0.053
Tl12 0.947 0.114 0.650
Se1 0.125 0.567 0.284
Se2 0.284 0.125 0.567
Se3 0.433 0.716 0.875
Se4 0.567 0.284 0.125
Se5 0.716 0.875 0.433
Se6 0.875 0.433 0.716
Br1 0.000 0.000 0.000

**N(E_F)**: 5.3 states/eV/f.u.
**Size of the total moment**: 0.0 μB per formula unit
**ΔE_f (raw)**: -0.35 eV per atom
**E_tot**: -57.67 eV/cell


Entry 9:
This record from the Alexandria database describes TiMnCu4 after structural relaxation. The functional is PBE.

Cell: 4.837 4.837 4.837 Å, 60.00 60.00 60.00°
Fractional positions:
Ti1 0.000 0.000 0.000
Mn1 0.250 0.250 0.250
Cu1 0.125 0.625 0.625
Cu2 0.625 0.125 0.625
Cu3 0.625 0.625 0.125
Cu4 0.625 0.625 0.625

**Energy of formation**: 0.047 eV/atom
**N(E_F)**: 7.7 states/eV/f.u.
**Size of the total moment**: 3.7 μB per formula unit
**E_tot**: -33.16 eV/cell


Entry 10:
This record from the Alexandria database describes IrAu2Cl after structural relaxation. The functional is PBE.

Cell: 3.880 3.880 4.715 Å, 90.00 90.00 90.00°
Fractional positions:
Ir1 0.000 0.000 0.000
Au1 0.000 0.500 0.500
Au2 0.500 0.000 0.500
Cl1 0.500 0.500 0.000

**N(E_F)**: 4.3 states/eV/f.u.
**Size of the total moment**: 0.0 μB per formula unit
**ΔE_f (raw)**: 0.82 eV per atom
**Energy above the lowest structure with this stoichiometry**: 0.4710 eV/atom
**E_tot**: -13.99 eV/cell


Entry 11:
This record from the Alexandria database describes Ce4CoSi3 after structural relaxation. The functional is PBE.

Cell: 3.948 4.260 10.496 Å, 90.00 90.00 90.00°
Fractional positions:
Ce1 0.000 0.000 0.000
Ce2 0.000 0.500 0.471
Ce3 0.500 0.000 0.694
Ce4 0.500 0.500 0.197
Co1 0.000 0.000 0.269
Si1 0.000 0.500 0.770
Si2 0.500 0.000 0.396
Si3 0.500 0.500 0.911

**N(E_F)**: 18.3 states/eV/f.u.
**Size of the total moment**: 3.0 μB per formula unit
**ΔE_f (raw)**: -0.54 eV per atom
**E_tot**: -51.43 eV/cell


Entry 12:
This record from the Alexandria database describes LaPr2Mg2Ge2 after structural relaxation. The functional is PBE.

Cell: 9.790 9.790 9.790 Å, 28.07 28.07 28.07°
Fractional positions:
La1 0.000 0.000 0.000
Pr1 0.130 0.130 0.130
Pr2 0.870 0.870 0.870
Mg1 0.404 0.404 0.404
Mg2 0.596 0.596 0.596
Ge1 0.263 0.263 0.263
Ge2 0.737 0.737 0.737

**Energy of formation**: -0.382 eV/atom
**N(E_F)**: 6.0 states/eV/f.u.
**Size of the total moment**: 0.0 μB per formula unit
**E_tot**: -29.58 eV/cell